Entry from the Alexandria database: a geometry-optimized Li3GeIr structure (PBE).

Computed properties:
The calculation puts the energy above the most stable polymorph in this dataset at 0.00 eV per formula unit. The formation energy is -1.0 eV per formula unit. The calculation puts the magnetic moment at 0.258 μB/f.u.

a = 6.0120 Å, b = 6.0120 Å, c = 7.0510 Å
α = 111.34°, β = 131.14°, γ = 78.56°
Sites, in units of the cell vectors:
Ir  0.2338  0.9874  0.2212
Ir  0.7662  0.0126  0.7788
Li  0.1970  0.0526  0.7901
Li  0.2625  0.4068  0.2099
Li  0.7375  0.5932  0.7901
Li  0.8030  0.9474  0.2099
Li  0.8042  0.3692  0.1734
Li  0.1958  0.6308  0.8266
Ge  0.3544  0.2697  0.6242
Ge  0.6456  0.7303  0.3758